DFT (GGA-PBE) results for a relaxed InS2O6 crystal.

Properties
Uncorrected formation energy (meV/atom): -1113
Magnetization (μB per formula unit): 0.000

Cell: 6.896 6.896 6.896 Å, 48.88 48.88 48.88°
Positions (direct):
In1 0.000 0.000 0.000
S1 0.605 0.605 0.605
S2 0.728 0.728 0.728
O1 0.299 0.686 0.771
O2 0.462 0.934 0.847
O3 0.686 0.771 0.299
O4 0.771 0.299 0.686
O5 0.847 0.462 0.934
O6 0.934 0.847 0.462

DFT (GGA-PBE) results for a relaxed MgSc6Cd crystal.

Properties
Energy above the lowest structure with this stoichiometry (eV/f.u.): 0.00
ΔH_f (0 K) (eV per atom): -0.040
Magnetization (μB per formula unit): 1.539

Cell: 4.535 4.535 9.144 Å, 90.00 90.00 90.00°
Positions (direct):
Mg1 0.000 0.000 0.000
Sc1 0.000 0.500 0.254
Sc2 0.000 0.500 0.746
Sc3 0.500 0.000 0.254
Sc4 0.500 0.000 0.746
Sc5 0.500 0.500 0.000
Sc6 0.500 0.500 0.500
Cd1 0.000 0.000 0.500

DFT (GGA-PBE) results for a relaxed KCoAs2 crystal.

Properties
Energy above the lowest structure with this stoichiometry (eV/f.u.): 3.41
ΔH_f (0 K) (eV per atom): 0.610
Magnetization (μB per formula unit): 1.878

Cell: 4.348 4.348 4.277 Å, 90.00 90.00 90.00°
Positions (direct):
K1 0.000 0.000 0.000
Co1 0.500 0.500 0.000
As1 0.000 0.500 0.500
As2 0.500 0.000 0.500

DFT (GGA-PBE) results for a relaxed Si3ICl crystal.

Properties
Uncorrected formation energy (meV/atom): 1543
Energy above the lowest structure with this stoichiometry (eV/f.u.): 1.36
Magnetization (μB per formula unit): 0.000

Cell: 5.451 5.451 5.451 Å, 90.00 90.00 90.00°
Positions (direct):
Si1 0.000 0.000 0.500
Si2 0.000 0.500 0.000
Si3 0.500 0.000 0.000
I1 0.000 0.000 0.000
Cl1 0.500 0.500 0.500

DFT (GGA-PBE) results for a relaxed Tb4Nd2Th5 crystal.

Properties
ΔH_f (0 K) (eV per atom): 0.139
Magnetization (μB per formula unit): 0.000

Cell: 8.857 3.477 11.772 Å, 90.00 94.17 90.00°
Positions (direct):
Tb1 0.160 0.000 0.406
Tb2 0.306 0.000 0.945
Tb3 0.694 0.000 0.055
Tb4 0.840 0.000 0.594
Nd1 0.055 0.500 0.136
Nd2 0.945 0.500 0.864
Th1 0.207 0.500 0.676
Th2 0.422 0.500 0.215
Th3 0.500 0.500 0.500
Th4 0.578 0.500 0.785
Th5 0.793 0.500 0.324

DFT (GGA-PBE) results for a relaxed YBe2Tc crystal.

Properties
Energy above the lowest structure with this stoichiometry (eV/f.u.): 1.48
ΔH_f (0 K) (eV per atom): 0.282
Magnetization (μB per formula unit): 0.000

Cell: 4.112 4.112 3.530 Å, 90.00 90.00 90.00°
Positions (direct):
Y1 0.000 0.000 0.000
Be1 0.000 0.500 0.500
Be2 0.500 0.000 0.500
Tc1 0.500 0.500 0.000

DFT (GGA-PBE) results for a relaxed Li2MgBi2 crystal.

Properties
Energy above the lowest structure with this stoichiometry (eV/f.u.): 0.79
ΔH_f (0 K) (eV per atom): -0.136
Magnetization (μB per formula unit): 0.000

Cell: 4.541 4.541 12.393 Å, 90.00 90.00 90.00°
Positions (direct):
Li1 0.000 0.500 0.250
Li2 0.000 0.500 0.750
Li3 0.500 0.000 0.250
Li4 0.500 0.000 0.750
Mg1 0.000 0.000 0.000
Mg2 0.500 0.500 0.500
Bi1 0.000 0.000 0.381
Bi2 0.000 0.000 0.619
Bi3 0.500 0.500 0.119
Bi4 0.500 0.500 0.881

DFT (GGA-PBE) results for a relaxed Ho3TeAsS crystal.

Properties
Uncorrected formation energy (meV/atom): -1373
Magnetization (μB per formula unit): 0.015

Cell: 7.982 7.982 6.786 Å, 97.38 97.38 129.46°
Positions (direct):
Ho1 0.179 0.314 0.001
Ho2 0.246 0.754 0.750
Ho3 0.314 0.179 0.501
Ho4 0.686 0.821 0.499
Ho5 0.754 0.246 0.250
Ho6 0.821 0.686 0.999
Te1 0.250 0.750 0.250
Te2 0.750 0.250 0.750
As1 0.434 0.566 0.750
As2 0.566 0.434 0.250
S1 0.059 0.941 0.750
S2 0.941 0.059 0.250

DFT (GGA-PBE) results for a relaxed CsCeTe4 crystal.

Properties
Uncorrected formation energy (meV/atom): -940
Magnetization (μB per formula unit): 1.033

Cell: 6.969 6.969 9.684 Å, 90.00 90.00 90.00°
Positions (direct):
Cs1 0.250 0.250 0.000
Cs2 0.750 0.750 0.000
Ce1 0.250 0.250 0.500
Ce2 0.750 0.750 0.500
Te1 0.105 0.605 0.305
Te2 0.105 0.895 0.695
Te3 0.395 0.605 0.695
Te4 0.395 0.895 0.305
Te5 0.605 0.105 0.695
Te6 0.605 0.395 0.305
Te7 0.895 0.105 0.305
Te8 0.895 0.395 0.695

DFT (GGA-PBE) results for a relaxed Ba2CaRu crystal.

Properties
Energy above the lowest structure with this stoichiometry (eV/f.u.): 0.11
ΔH_f (0 K) (eV per atom): 0.295
Magnetization (μB per formula unit): 0.000

Cell: 3.841 4.646 17.954 Å, 90.00 90.00 90.00°
Positions (direct):
Ba1 0.000 0.000 0.000
Ba2 0.000 0.500 0.500
Ba3 0.500 0.000 0.301
Ba4 0.500 0.500 0.801
Ca1 0.000 0.000 0.661
Ca2 0.000 0.500 0.161
Ru1 0.500 0.000 0.143
Ru2 0.500 0.500 0.643

DFT (GGA-PBE) results for a relaxed La4ThMg crystal.

Properties
ΔH_f (0 K) (eV per atom): -0.011
Magnetization (μB per formula unit): 0.000

Cell: 3.634 3.634 15.469 Å, 90.00 90.00 90.00°
Positions (direct):
La1 0.000 0.000 0.153
La2 0.000 0.000 0.847
La3 0.500 0.500 0.339
La4 0.500 0.500 0.661
Th1 0.000 0.000 0.500
Mg1 0.500 0.500 0.000

DFT (GGA-PBE) results for a relaxed PmThPaIn crystal.

Properties
ΔH_f (0 K) (eV per atom): 0.127
Magnetization (μB per formula unit): 0.426

Cell: 7.703 7.703 7.703 Å, 90.00 90.00 90.00°
Positions (direct):
Pm1 0.000 0.000 0.000
Pm2 0.000 0.500 0.500
Pm3 0.500 0.000 0.500
Pm4 0.500 0.500 0.000
Th1 0.000 0.000 0.500
Th2 0.000 0.500 0.000
Th3 0.500 0.000 0.000
Th4 0.500 0.500 0.500
Pa1 0.250 0.250 0.250
Pa2 0.250 0.750 0.750
Pa3 0.750 0.250 0.750
Pa4 0.750 0.750 0.250
In1 0.250 0.250 0.750
In2 0.250 0.750 0.250
In3 0.750 0.250 0.250
In4 0.750 0.750 0.750

DFT (GGA-PBE) results for a relaxed KFeCo2 crystal.

Properties
Energy above the lowest structure with this stoichiometry (eV/f.u.): 1.19
ΔH_f (0 K) (eV per atom): 0.932
Magnetization (μB per formula unit): 6.153

Cell: 2.610 5.242 9.987 Å, 90.00 90.00 90.00°
Positions (direct):
K1 0.000 0.000 0.000
K2 0.500 0.500 0.500
Fe1 0.000 0.500 0.199
Fe2 0.500 0.000 0.699
Co1 0.000 0.000 0.496
Co2 0.000 0.500 0.796
Co3 0.500 0.000 0.296
Co4 0.500 0.500 0.996

DFT (GGA-PBE) results for a relaxed TeP crystal.

Properties
Uncorrected formation energy (meV/atom): 658
Magnetization (μB per formula unit): 0.000

Cell: 6.392 6.392 6.392 Å, 90.00 90.00 90.00°
Positions (direct):
Te1 0.000 0.000 0.000
Te2 0.000 0.500 0.500
Te3 0.500 0.000 0.500
Te4 0.500 0.500 0.000
P1 0.250 0.250 0.250
P2 0.250 0.750 0.750
P3 0.750 0.250 0.750
P4 0.750 0.750 0.250

DFT (GGA-PBE) results for a relaxed BeTl2Pb crystal.

Properties
Energy above the lowest structure with this stoichiometry (eV/f.u.): 0.79
ΔH_f (0 K) (eV per atom): 0.537
Magnetization (μB per formula unit): 0.000

Cell: 5.006 5.006 8.379 Å, 90.00 90.00 90.00°
Positions (direct):
Be1 0.000 0.000 0.000
Be2 0.500 0.500 0.500
Tl1 0.000 0.000 0.500
Tl2 0.000 0.500 0.250
Tl3 0.500 0.000 0.750
Tl4 0.500 0.500 0.000
Pb1 0.000 0.500 0.750
Pb2 0.500 0.000 0.250

DFT (GGA-PBE) results for a relaxed FeTc2Cl crystal.

Properties
Uncorrected formation energy (meV/atom): 503
Energy above the lowest structure with this stoichiometry (eV/f.u.): 1.03
Magnetization (μB per formula unit): 2.299

Cell: 7.970 2.843 7.574 Å, 90.00 121.38 90.00°
Positions (direct):
Fe1 0.000 0.000 0.000
Fe2 0.500 0.500 0.000
Tc1 0.136 0.500 0.835
Tc2 0.364 0.000 0.165
Tc3 0.636 0.000 0.835
Tc4 0.864 0.500 0.165
Cl1 0.000 0.000 0.500
Cl2 0.500 0.500 0.500

DFT (GGA-PBE) results for a relaxed Ca2PmNd2 crystal.

Properties
Energy above the lowest structure with this stoichiometry (eV/f.u.): 1.64
ΔH_f (0 K) (eV per atom): 0.361
Magnetization (μB per formula unit): 0.000

Cell: 4.704 4.704 17.384 Å, 90.00 90.00 90.00°
Positions (direct):
Ca1 0.000 0.500 0.250
Ca2 0.000 0.500 0.750
Ca3 0.500 0.000 0.250
Ca4 0.500 0.000 0.750
Pm1 0.000 0.000 0.000
Pm2 0.500 0.500 0.500
Nd1 0.000 0.000 0.411
Nd2 0.000 0.000 0.589
Nd3 0.500 0.500 0.089
Nd4 0.500 0.500 0.911

DFT (GGA-PBE) results for a relaxed Ca2AgSe crystal.

Properties
Uncorrected formation energy (meV/atom): -296
Energy above the lowest structure with this stoichiometry (eV/f.u.): 2.82
Magnetization (μB per formula unit): 0.000

Cell: 7.455 7.455 7.455 Å, 90.00 90.00 90.00°
Positions (direct):
Ca1 0.000 0.000 0.000
Ca2 0.000 0.500 0.500
Ca3 0.250 0.250 0.250
Ca4 0.250 0.750 0.750
Ca5 0.500 0.000 0.500
Ca6 0.500 0.500 0.000
Ca7 0.750 0.250 0.750
Ca8 0.750 0.750 0.250
Ag1 0.250 0.250 0.750
Ag2 0.250 0.750 0.250
Ag3 0.750 0.250 0.250
Ag4 0.750 0.750 0.750
Se1 0.000 0.000 0.500
Se2 0.000 0.500 0.000
Se3 0.500 0.000 0.000
Se4 0.500 0.500 0.500

DFT (GGA-PBE) results for a relaxed CsSnHg2Te crystal.

Properties
Uncorrected formation energy (meV/atom): -301
Magnetization (μB per formula unit): 0.000

Cell: 5.790 5.790 6.125 Å, 90.00 90.00 90.00°
Positions (direct):
Cs1 0.000 0.000 0.000
Sn1 0.500 0.500 0.500
Hg1 0.000 0.500 0.500
Hg2 0.500 0.000 0.500
Te1 0.500 0.500 0.000

DFT (GGA-PBE) results for a relaxed CeYBr6 crystal.

Properties
Uncorrected formation energy (meV/atom): -1810
Energy above the lowest structure with this stoichiometry (eV/f.u.): 0.00
Magnetization (μB per formula unit): 1.000

Cell: 7.136 13.193 7.132 Å, 90.00 106.62 90.00°
Positions (direct):
Ce1 0.000 0.000 0.000
Ce2 0.500 0.500 0.000
Y1 0.000 0.500 0.500
Y2 0.500 0.000 0.500
Br1 0.239 0.353 0.743
Br2 0.239 0.647 0.743
Br3 0.249 0.500 0.257
Br4 0.251 0.000 0.743
Br5 0.261 0.147 0.257
Br6 0.261 0.853 0.257
Br7 0.739 0.147 0.743
Br8 0.739 0.853 0.743
Br9 0.749 0.000 0.257
Br10 0.751 0.500 0.743
Br11 0.761 0.353 0.257
Br12 0.761 0.647 0.257